Entry 1:
Below is a PBEsol-optimized structure of SiTc2Sb, with properties calculated at the meta-GGA SCAN level.

Properties
total magnetization	0.000	μB/atom
crystal system	monoclinic
formation energy (no corrections)	0.391	eV per atom
raw total energy	-115.831	eV/cell
space group	C2/m (12)
energy relative to the lowest polymorph listed for this composition	395	meV/atom
Fermi-level density of states	3.08	states/eV/f.u.

Cell and atoms, written as POSCAR:
```
SiTc2Sb
1.0
2.9811 0.0111 0.0171
-1.3608 4.8202 -0.0074
-1.3608 -1.9718 4.3984
Tc Si Sb
2 1 1
Direct
0.0000 0.5000 0.0000
0.0000 0.0000 0.5000
0.5000 0.5000 0.5000
0.5000 0.0000 0.0000
```


Entry 2:
Below is a PBEsol-optimized structure of SiTc2Sb, with properties calculated at the meta-GGA SCAN level.

Properties
total magnetization	0.000	μB/atom
crystal system	orthorhombic
formation energy (no corrections)	0.046	eV per atom
raw total energy	-117.212	eV/cell
space group	Pmm2 (25)
energy relative to the lowest polymorph listed for this composition	49	meV/atom
Fermi-level density of states	2.57	states/eV/f.u.

Cell and atoms, written as POSCAR:
```
SiTc2Sb
1.0
-2.5197 -0.8610 1.4411
1.0609 -4.2588 -0.6894
2.2815 -0.0706 3.9469
Tc Sb Si
2 1 1
Direct
0.5000 0.0135 0.0000
0.0000 0.2181 0.5000
0.0000 0.5245 0.0000
0.5000 0.7439 0.5000
```


Entry 3:
Below is a PBEsol-optimized structure of SiTcSb, with properties calculated at the meta-GGA SCAN level.

Properties
total magnetization	0.000	μB/atom
crystal system	tetragonal
formation energy (no corrections)	0.142	eV per atom
raw total energy	-81.910	eV/cell
space group	I4mm (107)
energy relative to the lowest polymorph listed for this composition	0	meV/atom
Fermi-level density of states	1.10	states/eV/f.u.

Cell and atoms, written as POSCAR:
```
SiTcSb
1.0
-0.4615 -1.5028 -2.6683
2.1636 -2.0697 0.7915
-4.7834 -1.3821 3.4029
Sb Tc Si
1 1 1
Direct
0.9757 0.9757 0.9513
0.3143 0.3143 0.6285
0.7101 0.7101 0.4201
```


Entry 4:
Below is a PBEsol-optimized structure of Si4TcSb, with properties calculated at the meta-GGA SCAN level.

Properties
total magnetization	0.324	μB/atom
crystal system	cubic
formation energy (no corrections)	0.795	eV per atom
raw total energy	-107.616	eV/cell
space group	F-43m (216)
Fermi-level density of states	3.70	states/eV/f.u.

Cell and atoms, written as POSCAR:
```
Si4TcSb
1.0
-0.7102 -2.5947 -4.3213
4.0094 -1.5470 -2.7281
1.1726 -4.9485 -0.2194
Si Tc Sb
4 1 1
Direct
0.3752 0.3752 0.8744
0.3752 0.3752 0.3752
0.8744 0.3752 0.3752
0.3752 0.8744 0.3752
0.7500 0.7500 0.7500
0.0000 0.0000 0.0000
```


Entry 5:
Below is a PBEsol-optimized structure of SiTcSb, with properties calculated at the meta-GGA SCAN level.

Properties
total magnetization	0.000	μB/atom
crystal system	orthorhombic
formation energy (no corrections)	0.444	eV per atom
raw total energy	-81.004	eV/cell
space group	Fmm2 (42)
energy relative to the lowest polymorph listed for this composition	302	meV/atom
Fermi-level density of states	1.93	states/eV/f.u.

Cell and atoms, written as POSCAR:
```
SiTcSb
1.0
-2.8230 -0.9270 0.2286
1.7676 -1.0173 2.1729
-0.8985 6.2055 2.4095
Sb Si Tc
1 1 1
Direct
0.0097 0.0097 0.0194
0.3109 0.3109 0.6219
0.6794 0.6794 0.3587
```


Entry 6:
Below is a PBEsol-optimized structure of SiTc2Sb, with properties calculated at the meta-GGA SCAN level.

Properties
total magnetization	0.000	μB/atom
crystal system	tetragonal
formation energy (no corrections)	-0.003	eV per atom
raw total energy	-117.410	eV/cell
space group	P4mm (99)
energy relative to the lowest polymorph listed for this composition	0	meV/atom
Fermi-level density of states	2.91	states/eV/f.u.

Cell and atoms, written as POSCAR:
```
SiTc2Sb
1.0
3.2392 0.0000 0.0000
0.0000 3.2392 0.0000
0.0000 0.0000 5.9205
Tc Si Sb
2 1 1
Direct
0.0000 0.0000 0.9446
0.5000 0.5000 0.2658
0.5000 0.5000 0.8034
0.0000 0.0000 0.4861
```


Entry 7:
Below is a PBEsol-optimized structure of SiTc2Sb, with properties calculated at the meta-GGA SCAN level.

Properties
total magnetization	0.000	μB/atom
crystal system	tetragonal
formation energy (no corrections)	0.104	eV per atom
raw total energy	-116.980	eV/cell
space group	P4mm (99)
energy relative to the lowest polymorph listed for this composition	107	meV/atom
Fermi-level density of states	2.21	states/eV/f.u.

Cell and atoms, written as POSCAR:
```
SiTc2Sb
1.0
-1.4284 2.4296 -0.7505
-2.5068 -1.4898 -0.0518
-1.1398 1.6560 7.5300
Sb Si Tc
1 1 2
Direct
0.0000 0.0000 0.4694
0.5000 0.5000 0.8111
0.5000 0.5000 0.2132
0.0000 0.0000 0.0063
```


Entry 8:
Below is a PBEsol-optimized structure of Si2SbTe2, with properties calculated at the meta-GGA SCAN level.

Properties
total magnetization	0.000	μB/atom
crystal system	tetragonal
formation energy (no corrections)	0.628	eV per atom
raw total energy	-128.655	eV/cell
space group	I4/mmm (139)
Fermi-level density of states	2.19	states/eV/f.u.

Cell and atoms, written as POSCAR:
```
Si2SbTe2
1.0
5.2809 0.0000 0.0000
-2.6404 5.3520 -0.0019
0.0000 -2.6037 4.5944
Si Te Sb
2 2 1
Direct
0.2500 0.5000 0.7500
0.7500 0.5000 0.2500
0.3300 0.6600 0.3300
0.6700 0.3400 0.6700
0.0000 0.0000 0.0000
```


Entry 9:
Below is a PBEsol-optimized structure of Ti2Si2Sb, with properties calculated at the meta-GGA SCAN level.

Properties
total magnetization	0.000	μB/atom
crystal system	tetragonal
formation energy (no corrections)	-0.238	eV per atom
raw total energy	-181.086	eV/cell
space group	P4/mbm (127)
Fermi-level density of states	4.04	states/eV/f.u.

Cell and atoms, written as POSCAR:
```
Ti2Si2Sb
1.0
3.5090 0.0000 0.0000
0.0000 6.9508 0.0000
0.0000 0.0000 6.9508
Ti Si Sb
4 4 2
Direct
0.0000 0.6603 0.1603
0.0000 0.1603 0.3397
0.0000 0.8397 0.6603
0.0000 0.3397 0.8397
0.5000 0.3718 0.1282
0.5000 0.6282 0.8718
0.5000 0.1282 0.6282
0.5000 0.8718 0.3718
0.0000 0.5000 0.5000
0.0000 0.0000 0.0000
```


Entry 10:
Below is a PBEsol-optimized structure of TlSiSb, with properties calculated at the meta-GGA SCAN level.

Properties
total magnetization	0.000	μB/atom
crystal system	cubic
formation energy (no corrections)	0.471	eV per atom
raw total energy	-118.222	eV/cell
space group	F-43m (216)
energy relative to the lowest polymorph listed for this composition	0	meV/atom
Fermi-level density of states	1.36	states/eV/f.u.

Cell and atoms, written as POSCAR:
```
TlSiSb
1.0
4.8350 0.0000 0.0000
2.4175 4.1872 0.0000
2.4175 1.3957 3.9477
Sb Tl Si
1 1 1
Direct
0.5000 0.5000 0.5000
0.0000 0.0000 0.0000
0.2500 0.2500 0.2500
```


Entry 11:
Below is a PBEsol-optimized structure of TlSiSb, with properties calculated at the meta-GGA SCAN level.

Properties
total magnetization	0.000	μB/atom
crystal system	cubic
formation energy (no corrections)	0.813	eV per atom
raw total energy	-117.196	eV/cell
space group	F-43m (216)
energy relative to the lowest polymorph listed for this composition	342	meV/atom
Fermi-level density of states	2.35	states/eV/f.u.

Cell and atoms, written as POSCAR:
```
TlSiSb
1.0
4.8987 0.0000 0.0000
2.4493 4.2424 0.0000
2.4493 1.4141 3.9998
Tl Sb Si
1 1 1
Direct
0.2500 0.2500 0.2500
0.0000 0.0000 0.0000
0.5000 0.5000 0.5000
```


Entry 12:
Below is a PBEsol-optimized structure of V4SiSb2, with properties calculated at the meta-GGA SCAN level.

Properties
total magnetization	0.000	μB/atom
crystal system	tetragonal
formation energy (no corrections)	-0.344	eV per atom
raw total energy	-313.797	eV/cell
space group	I4/mcm (140)
Fermi-level density of states	5.64	states/eV/f.u.

Cell and atoms, written as POSCAR:
```
V4SiSb2
1.0
4.6436 0.0000 0.0000
2.3218 6.8764 0.0000
2.3218 0.0000 6.8764
V Si Sb
8 2 4
Direct
0.0857 0.1203 0.7083
0.9143 0.8797 0.2917
0.2940 0.1203 0.2917
0.4143 0.2917 0.8797
0.7060 0.8797 0.7083
0.7940 0.2917 0.1203
0.5857 0.7083 0.1203
0.2060 0.7083 0.8797
0.7500 0.0000 0.0000
0.2500 0.0000 0.0000
0.3601 0.7798 0.5000
0.8601 0.5000 0.7798
0.1399 0.5000 0.2202
0.6399 0.2202 0.5000
```


Entry 13:
Below is a PBEsol-optimized structure of SiSb2W, with properties calculated at the meta-GGA SCAN level.

Properties
total magnetization	0.000	μB/atom
crystal system	monoclinic
formation energy (no corrections)	0.975	eV per atom
raw total energy	-150.325	eV/cell
space group	P2/m (10)
Fermi-level density of states	2.62	states/eV/f.u.

Cell and atoms, written as POSCAR:
```
SiSb2W
1.0
-0.0929 -3.3536 -0.1684
1.5724 -0.2658 4.4265
-4.9899 0.1232 0.3009
Sb W Si
2 1 1
Direct
0.5000 0.0000 0.5000
0.0000 0.0000 0.0000
0.0000 0.5000 0.5000
0.5000 0.5000 0.0000
```


Entry 14:
Below is a PBEsol-optimized structure of SiSb2W, with properties calculated at the meta-GGA SCAN level.

Properties
total magnetization	0.000	μB/atom
crystal system	monoclinic
formation energy (no corrections)	0.345	eV per atom
raw total energy	-152.844	eV/cell
space group	Cm (8)
Fermi-level density of states	1.22	states/eV/f.u.

Cell and atoms, written as POSCAR:
```
SiSb2W
1.0
-3.2950 -0.6675 0.5005
2.1145 -3.3959 -2.1501
1.2175 -1.6599 5.8015
Si W Sb
1 1 2
Direct
0.5297 0.0595 0.5956
0.2482 0.4965 0.6599
0.9725 0.9449 0.9360
0.7495 0.4991 0.3085
```


Entry 15:
Below is a PBEsol-optimized structure of SiSb2W, with properties calculated at the meta-GGA SCAN level.

Properties
total magnetization	0.000	μB/atom
crystal system	orthorhombic
formation energy (no corrections)	0.578	eV per atom
raw total energy	-151.914	eV/cell
space group	Imm2 (44)
Fermi-level density of states	3.00	states/eV/f.u.

Cell and atoms, written as POSCAR:
```
SiSb2W
1.0
-3.0620 -1.8647 -0.2932
-0.0333 -0.5003 3.5308
-2.0045 6.8936 -0.8430
Sb Si W
2 1 1
Direct
0.2251 0.7251 0.4501
0.0080 0.0080 0.0161
0.4456 0.4456 0.8913
0.8213 0.3213 0.6425
```


Entry 16:
Below is a PBEsol-optimized structure of SiSbW3, with properties calculated at the meta-GGA SCAN level.

Properties
total magnetization	0.000	μB/atom
crystal system	cubic
formation energy (no corrections)	1.455	eV per atom
raw total energy	-249.066	eV/cell
space group	Pm-3m (221)
Fermi-level density of states	2.89	states/eV/f.u.

Cell and atoms, written as POSCAR:
```
SiSbW3
1.0
-1.9290 -3.7071 1.6677
3.6553 -0.7743 2.5069
-1.7784 2.4296 3.3436
W Si Sb
3 1 1
Direct
0.5000 0.0000 0.0000
0.0000 0.5000 0.0000
0.0000 0.0000 0.5000
0.0000 0.0000 0.0000
0.5000 0.5000 0.5000
```


Entry 17:
Below is a PBEsol-optimized structure of SiSbW4, with properties calculated at the meta-GGA SCAN level.

Properties
total magnetization	0.000	μB/atom
crystal system	cubic
formation energy (no corrections)	0.820	eV per atom
raw total energy	-321.108	eV/cell
space group	F-43m (216)
Fermi-level density of states	3.80	states/eV/f.u.

Cell and atoms, written as POSCAR:
```
SiSbW4
1.0
5.2852 0.0000 0.0000
2.6426 4.5771 0.0000
2.6426 1.5257 4.3154
W Si Sb
4 1 1
Direct
0.3746 0.3746 0.3746
0.3746 0.3746 0.8761
0.3746 0.8761 0.3746
0.8761 0.3746 0.3746
0.0000 0.0000 0.0000
0.7500 0.7500 0.7500
```


Entry 18:
Below is a PBEsol-optimized structure of Y2SiSb, with properties calculated at the meta-GGA SCAN level.

Properties
total magnetization	0.197	μB/atom
crystal system	tetragonal
formation energy (no corrections)	-0.651	eV per atom
raw total energy	-105.565	eV/cell
space group	I4/mmm (139)
energy relative to the lowest polymorph listed for this composition	244	meV/atom
Fermi-level density of states	2.09	states/eV/f.u.

Cell and atoms, written as POSCAR:
```
Y2SiSb
1.0
4.7688 0.0000 0.0000
-2.3844 4.7326 0.0393
0.0000 -2.4366 4.0993
Si Y Sb
1 2 1
Direct
0.0000 0.0000 0.0000
0.7500 0.5000 0.2500
0.2500 0.5000 0.7500
0.5000 0.0000 0.5000
```


Entry 19:
Below is a PBEsol-optimized structure of YSiSb, with properties calculated at the meta-GGA SCAN level.

Properties
total magnetization	0.335	μB/atom
crystal system	trigonal
formation energy (no corrections)	-0.040	eV per atom
raw total energy	-75.238	eV/cell
space group	P3m1 (156)
Fermi-level density of states	2.17	states/eV/f.u.

Cell and atoms, written as POSCAR:
```
YSiSb
1.0
-2.7546 -2.2662 1.3794
2.3704 -1.3006 -2.7048
3.6740 -1.9385 4.1520
Si Sb Y
1 1 1
Direct
0.3333 0.6667 0.6904
0.0000 0.0000 0.9541
0.6667 0.3333 0.3556
```


Entry 20:
Below is a PBEsol-optimized structure of YSiSb2, with properties calculated at the meta-GGA SCAN level.

Properties
total magnetization	0.000	μB/atom
crystal system	monoclinic
formation energy (no corrections)	-0.362	eV per atom
raw total energy	-113.828	eV/cell
space group	Pm (6)
Fermi-level density of states	1.13	states/eV/f.u.

Cell and atoms, written as POSCAR:
```
YSiSb2
1.0
4.1024 0.0000 0.0000
0.0000 4.1016 -0.0002
0.0000 -1.7546 5.9097
Sb Y Si
2 1 1
Direct
0.5000 0.6167 0.2822
0.0000 0.0129 0.9549
0.5000 0.4421 0.7416
0.0000 0.9283 0.5213
```